[1]
# PBE-GGA Zr6SnH, optimized geometry
data_Zr6SnH
_cell_length_a 8.5198
_cell_length_b 8.5198
_cell_length_c 7.7191
_cell_angle_alpha 90.00
_cell_angle_beta 90.00
_cell_angle_gamma 120.00
_space_group_name_H-M_alt 'R -3'
_space_group_IT_number 148
_space_group_name_Hall '-R 3'
loop_
_atom_site_label
_atom_site_fract_x
_atom_site_fract_y
_atom_site_fract_z
Zr1 0.0679 0.8219 0.1644
Sn1 0.0000 0.0000 0.5000
H1 0.0000 0.0000 0.0000
# total magnetic moment = 0.000 μB/atom
# calculated volume = 20.22 A^3/atom
# VASP energy = -7.5699 eV/atom
# density of states at the Fermi level = 9.4 states/eV/f.u.



[2]
# PBE-GGA TlFeNi2Cl, optimized geometry
data_TlFeNi2Cl
_cell_length_a 4.4341
_cell_length_b 4.4341
_cell_length_c 5.3749
_cell_angle_alpha 90.00
_cell_angle_beta 90.00
_cell_angle_gamma 90.00
_space_group_name_H-M_alt 'P 4/m m m'
_space_group_IT_number 123
_space_group_name_Hall '-P 4 2'
loop_
_atom_site_label
_atom_site_fract_x
_atom_site_fract_y
_atom_site_fract_z
Tl1 0.0000 0.0000 0.0000
Fe1 0.0000 0.0000 0.5000
Ni1 0.0000 0.5000 0.5000
Cl1 0.5000 0.5000 0.0000
# ΔE_f (raw) = 373 kJ/mol of formula units
# total magnetic moment = 0.853 μB/atom
# calculated volume = 21.14 A^3/atom
# VASP energy = -4.0750 eV/atom
# density of states at the Fermi level = 4.9 states/eV/f.u.



[3]
# PBE-GGA TmCoSi3Ir, optimized geometry
data_TmCoSi3Ir
_cell_length_a 6.1039
_cell_length_b 12.8795
_cell_length_c 5.4580
_cell_angle_alpha 90.00
_cell_angle_beta 90.00
_cell_angle_gamma 90.00
_space_group_name_H-M_alt 'C m c m'
_space_group_IT_number 63
_space_group_name_Hall '-C 2c 2'
loop_
_atom_site_label
_atom_site_fract_x
_atom_site_fract_y
_atom_site_fract_z
Tm1 0.0000 0.1846 0.2500
Co1 0.0000 0.0451 0.7500
Si1 0.0000 0.2095 0.7500
Si2 0.2150 0.5000 0.0000
Ir1 0.0000 0.3837 0.7500
# ΔE_f (raw) = -283 kJ/mol of formula units
# total magnetic moment = 0.000 μB/atom
# calculated volume = 17.88 A^3/atom
# VASP energy = -6.6075 eV/atom
# density of states at the Fermi level = 3.1 states/eV/f.u.



[4]
# PBE-GGA Ca2FeHg, optimized geometry
data_Ca2FeHg
_cell_length_a 8.1096
_cell_length_b 8.1096
_cell_length_c 6.5019
_cell_angle_alpha 90.00
_cell_angle_beta 90.00
_cell_angle_gamma 90.00
_space_group_name_H-M_alt 'I -4 2 d'
_space_group_IT_number 122
_space_group_name_Hall 'I -4 2bw'
loop_
_atom_site_label
_atom_site_fract_x
_atom_site_fract_y
_atom_site_fract_z
Ca1 0.2352 0.2500 0.1250
Fe1 0.0000 0.0000 0.0000
Hg1 0.0000 0.0000 0.5000
# total magnetic moment = 0.519 μB/atom
# calculated volume = 26.73 A^3/atom
# VASP energy = -2.8130 eV/atom
# density of states at the Fermi level = 5.4 states/eV/f.u.
# DFT formation energy = 0.379 eV per atom



[5]
# PBE-GGA LaCuSb2, optimized geometry
data_LaCuSb2
_cell_length_a 7.4512
_cell_length_b 7.4512
_cell_length_c 7.4512
_cell_angle_alpha 90.00
_cell_angle_beta 90.00
_cell_angle_gamma 90.00
_space_group_name_H-M_alt 'F -4 3 m'
_space_group_IT_number 216
_space_group_name_Hall 'F -4 2 3'
loop_
_atom_site_label
_atom_site_fract_x
_atom_site_fract_y
_atom_site_fract_z
La1 0.0000 0.0000 0.0000
Cu1 0.2500 0.2500 0.2500
Sb1 0.0000 0.0000 0.5000
Sb2 0.2500 0.2500 0.7500
# ΔE_f (raw) = -78 kJ/mol of formula units
# total magnetic moment = 0.000 μB/atom
# calculated volume = 25.86 A^3/atom
# VASP energy = -4.5198 eV/atom
# density of states at the Fermi level = 4.0 states/eV/f.u.



[6]
# PBE-GGA Ce6SiCl8, optimized geometry
data_Ce6SiCl8
_cell_length_a 6.9926
_cell_length_b 6.9926
_cell_length_c 29.9728
_cell_angle_alpha 90.00
_cell_angle_beta 90.00
_cell_angle_gamma 120.00
_space_group_name_H-M_alt 'R -3'
_space_group_IT_number 148
_space_group_name_Hall '-R 3'
loop_
_atom_site_label
_atom_site_fract_x
_atom_site_fract_y
_atom_site_fract_z
Ce1 0.0002 0.3345 0.4455
Si1 0.0000 0.0000 0.5000
Cl1 0.0000 0.0000 0.1666
Cl2 0.0003 0.3271 0.6109
# ΔE_f (raw) = -2443 kJ/mol of formula units
# total magnetic moment = 0.370 μB/atom
# calculated volume = 28.20 A^3/atom
# VASP energy = -5.4080 eV/atom
# density of states at the Fermi level = 32.1 states/eV/f.u.



[7]
# PBE-GGA Sr3Ga8Pt3, optimized geometry
data_Sr3Ga8Pt3
_cell_length_a 16.2292
_cell_length_b 4.5625
_cell_length_c 9.1390
_cell_angle_alpha 90.00
_cell_angle_beta 123.06
_cell_angle_gamma 90.00
_space_group_name_H-M_alt 'C 1 2/m 1'
_space_group_IT_number 12
loop_
_space_group_symop_operation_xyz
'x,y,z'
'-x,-y,-z'
'-x,y,-z'
'x,-y,z'
'x+1/2,y+1/2,z'
'-x+1/2,-y+1/2,-z'
'-x+1/2,y+1/2,-z'
'x+1/2,-y+1/2,z'
loop_
_atom_site_label
_atom_site_fract_x
_atom_site_fract_y
_atom_site_fract_z
Sr1 0.0000 0.0000 0.0000
Sr2 0.2106 0.5000 0.6983
Ga1 0.0062 0.5000 0.6778
Ga2 0.1332 0.0000 0.4208
Ga3 0.1499 0.0000 0.8597
Ga4 0.1536 0.5000 0.2826
Pt1 0.0000 0.0000 0.5000
Pt2 0.1538 0.5000 0.9995
# total magnetic moment = 0.000 μB/atom
# calculated volume = 20.25 A^3/atom
# VASP energy = -4.0367 eV/atom
# density of states at the Fermi level = 3.9 states/eV/f.u.
# DFT formation energy = -0.652 eV per atom



[8]
# PBE-GGA La3Nd8Tm, optimized geometry
data_La3Nd8Tm
_cell_length_a 8.9297
_cell_length_b 8.9297
_cell_length_c 11.6185
_cell_angle_alpha 90.00
_cell_angle_beta 90.00
_cell_angle_gamma 90.00
_space_group_name_H-M_alt 'I -4 2 m'
_space_group_IT_number 121
_space_group_name_Hall 'I -4 2'
loop_
_atom_site_label
_atom_site_fract_x
_atom_site_fract_y
_atom_site_fract_z
La1 0.0000 0.0000 0.0000
La2 0.0000 0.5000 0.2500
Nd1 0.1222 0.1222 0.2521
Nd2 0.2473 0.2473 0.5075
Tm1 0.0000 0.0000 0.5000
# total magnetic moment = 0.000 μB/atom
# calculated volume = 38.60 A^3/atom
# VASP energy = -4.2635 eV/atom
# density of states at the Fermi level = 18.9 states/eV/f.u.
# DFT formation energy = 0.520 eV per atom



[9]
# PBE-GGA TaVGe2Bi, optimized geometry
data_TaVGe2Bi
_cell_length_a 5.0498
_cell_length_b 5.0498
_cell_length_c 4.6909
_cell_angle_alpha 90.00
_cell_angle_beta 90.00
_cell_angle_gamma 90.00
_space_group_name_H-M_alt 'P 4/m m m'
_space_group_IT_number 123
_space_group_name_Hall '-P 4 2'
loop_
_atom_site_label
_atom_site_fract_x
_atom_site_fract_y
_atom_site_fract_z
Ta1 0.0000 0.0000 0.0000
V1 0.0000 0.0000 0.5000
Ge1 0.0000 0.5000 0.0000
Bi1 0.5000 0.5000 0.5000
# total magnetic moment = 0.000 μB/atom
# calculated volume = 23.92 A^3/atom
# VASP energy = -5.9890 eV/atom
# density of states at the Fermi level = 5.3 states/eV/f.u.
# DFT formation energy = 0.828 eV per atom



[10]
# PBE-GGA AcEuZnPt, optimized geometry
data_AcEuZnPt
_cell_length_a 7.5019
_cell_length_b 7.5019
_cell_length_c 7.5019
_cell_angle_alpha 90.00
_cell_angle_beta 90.00
_cell_angle_gamma 90.00
_space_group_name_H-M_alt 'F -4 3 m'
_space_group_IT_number 216
_space_group_name_Hall 'F -4 2 3'
loop_
_atom_site_label
_atom_site_fract_x
_atom_site_fract_y
_atom_site_fract_z
Ac1 0.0000 0.0000 0.0000
Eu1 0.0000 0.0000 0.5000
Zn1 0.2500 0.2500 0.2500
Pt1 0.2500 0.2500 0.7500
# total magnetic moment = 1.736 μB/atom
# calculated volume = 26.39 A^3/atom
# VASP energy = -6.0442 eV/atom
# density of states at the Fermi level = 7.9 states/eV/f.u.
# DFT formation energy = -0.620 eV per atom



[11]
# PBE-GGA KFeB3, optimized geometry
data_KFeB3
_cell_length_a 4.5123
_cell_length_b 4.5123
_cell_length_c 4.5123
_cell_angle_alpha 90.00
_cell_angle_beta 90.00
_cell_angle_gamma 90.00
_space_group_name_H-M_alt 'P m -3 m'
_space_group_IT_number 221
_space_group_name_Hall '-P 4 2 3'
loop_
_atom_site_label
_atom_site_fract_x
_atom_site_fract_y
_atom_site_fract_z
K1 0.0000 0.0000 0.0000
Fe1 0.5000 0.5000 0.5000
B1 0.0000 0.0000 0.5000
# total magnetic moment = 0.580 μB/atom
# calculated volume = 18.38 A^3/atom
# VASP energy = -2.3188 eV/atom
# density of states at the Fermi level = 5.4 states/eV/f.u.
# DFT formation energy = 3.600 eV per atom



[12]
# PBE-GGA ZnO2F, optimized geometry
data_ZnO2F
_cell_length_a 5.3708
_cell_length_b 5.3708
_cell_length_c 5.3708
_cell_angle_alpha 90.00
_cell_angle_beta 90.00
_cell_angle_gamma 90.00
_space_group_name_H-M_alt 'F m -3 m'
_space_group_IT_number 225
_space_group_name_Hall '-F 4 2 3'
loop_
_atom_site_label
_atom_site_fract_x
_atom_site_fract_y
_atom_site_fract_z
Zn1 0.0000 0.0000 0.0000
O1 0.2500 0.2500 0.2500
F1 0.0000 0.0000 0.5000
# ΔE_f (raw) = 57 kJ/mol of formula units
# total magnetic moment = 0.750 μB/atom
# calculated volume = 9.68 A^3/atom
# VASP energy = -3.1176 eV/atom
# density of states at the Fermi level = 2.4 states/eV/f.u.